Run i
Density functional theory data (PBE) for crystalline GaAs2I2 at its relaxed geometry.

Cell: 6.263 6.263 6.084 Å, 59.02 59.02 90.00°
Fractional positions:
Ga (0.000, 0.000, 0.000)
As (0.635, 0.635, 0.731)
As (0.365, 0.365, 0.269)
I (0.250, 0.750, 0.500)
I (0.750, 0.250, 0.500)

## Properties
- space group = No. 139
- DOS(E_F) (states/eV per cell) = 3.3

=====

Run ii
Density functional theory data (PBE) for crystalline GaAs2I2 at its relaxed geometry.

Cell: 7.366 7.366 5.010 Å, 90.00 90.00 90.00°
Fractional positions:
I (0.801, 0.301, 0.500)
I (0.699, 0.801, 0.500)
I (0.301, 0.199, 0.500)
I (0.199, 0.699, 0.500)
Ga (0.000, 0.000, 0.000)
Ga (0.500, 0.500, 0.000)
As (0.375, 0.875, 0.000)
As (0.875, 0.625, 0.000)
As (0.625, 0.125, 0.000)
As (0.125, 0.375, 0.000)

## Properties
- space group = No. 127
- DOS(E_F) (states/eV per cell) = 6.2

=====

Question: which arrangement is favored energetically? Ranking from most to least stable: run i, run ii.

=====

Run i
Density functional theory data (PBE) for crystalline GaAsIN2 at its relaxed geometry.

Cell: 3.893 3.893 7.220 Å, 90.00 90.00 90.00°
Fractional positions:
As (0.500, 0.500, 0.500)
I (0.000, 0.000, 0.500)
N (0.000, 0.500, 0.000)
N (0.500, 0.000, 0.000)
Ga (0.000, 0.000, 0.000)

## Properties
- space group = No. 123
- DOS(E_F) (states/eV per cell) = 5.5

=====

Run ii
Density functional theory data (PBE) for crystalline GaAsIN2 at its relaxed geometry.

Cell: 3.937 3.937 6.878 Å, 90.00 90.00 90.00°
Each line ends with the local moment (μB).
Fractional positions:
As (0.000, 0.000, 0.000)  -0.03
Ga (0.500, 0.500, 0.500)  0.00
I (0.000, 0.000, 0.500)  0.00
N (0.500, 0.000, 0.000)  0.21
N (0.000, 0.500, 0.000)  0.21

## Properties
- space group = No. 123
- DOS(E_F) (states/eV per cell) = 2.0

=====

Question: which arrangement is favored energetically? Ranking from most to least stable: run ii, run i.

=====

Run i
Density functional theory data (PBE) for crystalline GaAsI2N at its relaxed geometry.

Cell: 5.817 5.817 3.599 Å, 90.00 90.00 90.00°
Fractional positions:
N (0.000, 0.000, 0.500)
Ga (0.000, 0.000, 0.000)
As (0.500, 0.500, 0.500)
I (0.000, 0.500, 0.000)
I (0.500, 0.000, 0.000)

## Properties
- space group = No. 123
- DOS(E_F) (states/eV per cell) = 6.4

=====

Run ii
Density functional theory data (PBE) for crystalline GaAsI2N at its relaxed geometry.

Cell: 6.228 6.228 3.684 Å, 90.00 90.00 90.00°
Fractional positions:
N (0.000, 0.000, 0.500)
I (0.000, 0.500, 0.000)
I (0.500, 0.000, 0.000)
As (0.000, 0.000, 0.000)
Ga (0.500, 0.500, 0.500)

## Properties
- space group = No. 123
- DOS(E_F) (states/eV per cell) = 2.7

=====

Question: which arrangement is favored energetically? Ranking from most to least stable: run ii, run i.

=====

Run i
Density functional theory data (PBE) for crystalline GaSb2AsI at its relaxed geometry.

Cell: 5.398 5.398 5.289 Å, 90.00 90.00 90.00°
Fractional positions:
Sb (0.000, 0.500, 0.000)
Sb (0.500, 0.000, 0.000)
As (0.500, 0.500, 0.500)
Ga (0.000, 0.000, 0.000)
I (0.000, 0.000, 0.500)

## Properties
- space group = No. 123
- DOS(E_F) (states/eV per cell) = 4.7

=====

Run ii
Density functional theory data (PBE) for crystalline GaSb2AsI at its relaxed geometry.

Cell: 5.382 5.382 5.948 Å, 90.00 90.00 90.00°
Fractional positions:
Sb (0.000, 0.500, 0.000)
Sb (0.500, 0.000, 0.000)
I (0.000, 0.000, 0.500)
Ga (0.500, 0.500, 0.500)
As (0.000, 0.000, 0.000)

## Properties
- space group = No. 123
- DOS(E_F) (states/eV per cell) = 5.2

=====

Run iii
Density functional theory data (PBE) for crystalline GaSb2AsI at its relaxed geometry.

Cell: 5.554 4.806 5.554 Å, 90.00 90.00 90.00°
Fractional positions:
Sb (0.000, 0.000, 0.500)
Sb (0.500, 0.000, 0.000)
I (0.500, 0.500, 0.500)
As (0.000, 0.500, 0.000)
Ga (0.000, 0.000, 0.000)

## Properties
- space group = No. 123
- DOS(E_F) (states/eV per cell) = 4.2

=====

Question: which arrangement is favored energetically? Ranking from most to least stable: run ii, run iii, run i.

=====

Run i
Density functional theory data (PBE) for crystalline GaAsSe2I at its relaxed geometry.

Cell: 4.946 4.946 5.289 Å, 90.00 90.00 90.00°
Fractional positions:
Se (0.000, 0.500, 0.000)
Se (0.500, 0.000, 0.000)
As (0.000, 0.000, 0.500)
Ga (0.000, 0.000, 0.000)
I (0.500, 0.500, 0.500)

## Properties
- space group = No. 123
- DOS(E_F) (states/eV per cell) = 5.8

=====

Run ii
Density functional theory data (PBE) for crystalline GaAsSe2I at its relaxed geometry.

Cell: 5.463 5.463 5.493 Å, 90.00 90.00 90.00°
Each line ends with the local moment (μB).
Fractional positions:
Se (0.500, 0.000, 0.000)  0.08
Se (0.000, 0.500, 0.000)  0.08
I (0.000, 0.000, 0.000)  -0.01
As (0.000, 0.000, 0.500)  0.36
Ga (0.500, 0.500, 0.500)  0.01

## Properties
- space group = No. 123
- DOS(E_F) (states/eV per cell) = 4.4

=====

Question: which arrangement is favored energetically? Ranking from most to least stable: run i, run ii.

=====

Run i
Density functional theory data (PBE) for crystalline GaAs2SeI at its relaxed geometry.

Cell: 5.447 5.447 5.500 Å, 90.00 90.00 90.00°
Each line ends with the local moment (μB).
Fractional positions:
Se (0.000, 0.000, 0.500)  0.04
As (0.500, 0.000, 0.000)  0.15
As (0.000, 0.500, 0.000)  0.15
I (0.000, 0.000, 0.000)  -0.01
Ga (0.500, 0.500, 0.500)  0.00

## Properties
- space group = No. 123
- DOS(E_F) (states/eV per cell) = 5.4

=====

Run ii
Density functional theory data (PBE) for crystalline GaAs2SeI at its relaxed geometry.

Cell: 5.136 5.136 4.866 Å, 90.00 90.00 90.00°
Fractional positions:
As (0.000, 0.500, 0.000)
As (0.500, 0.000, 0.000)
Se (0.000, 0.000, 0.500)
Ga (0.000, 0.000, 0.000)
I (0.500, 0.500, 0.500)

## Properties
- space group = No. 123
- DOS(E_F) (states/eV per cell) = 4.7

=====

Question: which arrangement is favored energetically? Ranking from most to least stable: run ii, run i.

=====

Run i
Density functional theory data (PBE) for crystalline GaTe2AsI at its relaxed geometry.

Cell: 5.423 5.423 5.352 Å, 90.00 90.00 90.00°
Fractional positions:
As (0.500, 0.500, 0.500)
I (0.000, 0.000, 0.500)
Ga (0.000, 0.000, 0.000)
Te (0.000, 0.500, 0.000)
Te (0.500, 0.000, 0.000)

## Properties
- space group = No. 123
- DOS(E_F) (states/eV per cell) = 5.3

=====

Run ii
Density functional theory data (PBE) for crystalline GaTe2AsI at its relaxed geometry.

Cell: 5.530 5.530 5.744 Å, 90.00 90.00 90.00°
Fractional positions:
I (0.000, 0.000, 0.500)
As (0.000, 0.000, 0.000)
Ga (0.500, 0.500, 0.500)
Te (0.500, 0.000, 0.000)
Te (0.000, 0.500, 0.000)

## Properties
- space group = No. 123
- DOS(E_F) (states/eV per cell) = 6.5

=====

Question: which arrangement is favored energetically? Ranking from most to least stable: run ii, run i.

=====

Run i
Density functional theory data (PBE) for crystalline GaTeAsI2 at its relaxed geometry.

Cell: 5.734 5.734 5.574 Å, 90.00 90.00 90.00°
Fractional positions:
As (0.000, 0.000, 0.000)
Te (0.000, 0.000, 0.500)
I (0.500, 0.000, 0.000)
I (0.000, 0.500, 0.000)
Ga (0.500, 0.500, 0.500)

## Properties
- space group = No. 123
- DOS(E_F) (states/eV per cell) = 2.7

=====

Run ii
Density functional theory data (PBE) for crystalline GaTeAsI2 at its relaxed geometry.

Cell: 5.496 5.496 5.725 Å, 90.00 90.00 90.00°
Each line ends with the local moment (μB).
Fractional positions:
I (0.500, 0.000, 0.000)  0.00
I (0.000, 0.500, 0.000)  0.00
As (0.500, 0.500, 0.500)  0.83
Ga (0.000, 0.000, 0.000)  -0.01
Te (0.000, 0.000, 0.500)  -0.27

## Properties
- space group = No. 123
- DOS(E_F) (states/eV per cell) = 3.6

=====

Question: which arrangement is favored energetically? Ranking from most to least stable: run i, run ii.

=====

Run i
Density functional theory data (PBE) for crystalline In2GaAs at its relaxed geometry.

Cell: 3.992 3.992 8.934 Å, 77.09 77.09 60.00°
Fractional positions:
As (0.500, 0.500, 0.500)
Ga (0.000, 0.000, 0.000)
In (0.895, 0.895, 0.316)
In (0.105, 0.105, 0.684)

## Properties
- space group = No. 166
- DOS(E_F) (states/eV per cell) = 1.7

=====

Run ii
Density functional theory data (PBE) for crystalline In2GaAs at its relaxed geometry.

Cell: 6.545 6.545 7.353 Å, 63.57 63.57 90.00°
Fractional positions:
Ga (0.250, 0.750, 0.500)
Ga (0.500, 0.500, 0.000)
In (0.375, 0.367, 0.750)
In (0.875, 0.883, 0.750)
In (0.633, 0.125, 0.250)
In (0.117, 0.625, 0.250)
As (0.750, 0.250, 0.500)
As (0.000, 0.000, 0.000)

## Properties
- space group = No. 122
- DOS(E_F) (states/eV per cell) = 1.1

=====

Run iii
Density functional theory data (PBE) for crystalline In2GaAs at its relaxed geometry.

Cell: 5.104 5.104 5.104 Å, 60.00 60.00 60.00°
Fractional positions:
In (0.750, 0.750, 0.750)
In (0.250, 0.250, 0.250)
Ga (0.000, 0.000, 0.000)
As (0.500, 0.500, 0.500)

## Properties
- space group = No. 225
- DOS(E_F) (states/eV per cell) = 2.3

=====

Question: which arrangement is favored energetically? Ranking from most to least stable: run ii, run iii, run i.

=====

Run i
Density functional theory data (PBE) for crystalline In2GaAs2 at its relaxed geometry.

Cell: 7.807 7.807 3.797 Å, 90.00 90.00 90.00°
Fractional positions:
As (0.840, 0.660, 0.000)
As (0.340, 0.840, 0.000)
As (0.160, 0.340, 0.000)
As (0.660, 0.160, 0.000)
In (0.648, 0.852, 0.500)
In (0.852, 0.352, 0.500)
In (0.148, 0.648, 0.500)
In (0.352, 0.148, 0.500)
Ga (0.500, 0.500, 0.000)
Ga (0.000, 0.000, 0.000)

## Properties
- space group = No. 127
- DOS(E_F) (states/eV per cell) = 5.1

=====

Run ii
Density functional theory data (PBE) for crystalline In2GaAs2 at its relaxed geometry.

Cell: 5.103 5.103 6.209 Å, 65.74 65.74 90.00°
Fractional positions:
In (0.362, 0.362, 0.277)
In (0.638, 0.638, 0.723)
As (0.250, 0.750, 0.500)
As (0.750, 0.250, 0.500)
Ga (0.000, 0.000, 0.000)

## Properties
- space group = No. 139
- DOS(E_F) (states/eV per cell) = 2.2

=====

Question: which arrangement is favored energetically? Ranking from most to least stable: run i, run ii.

=====

Run i
Density functional theory data (PBE) for crystalline InGa3As at its relaxed geometry.

Cell: 5.043 5.043 5.043 Å, 90.00 90.00 90.00°
Fractional positions:
As (0.000, 0.000, 0.000)
In (0.500, 0.500, 0.500)
Ga (0.500, 0.000, 0.000)
Ga (0.000, 0.000, 0.500)
Ga (0.000, 0.500, 0.000)

## Properties
- space group = No. 221
- DOS(E_F) (states/eV per cell) = 2.8

=====

Run ii
Density functional theory data (PBE) for crystalline InGa3As at its relaxed geometry.

Cell: 5.192 5.192 5.192 Å, 90.00 90.00 90.00°
Fractional positions:
As (0.500, 0.500, 0.500)
Ga (0.000, 0.000, 0.500)
Ga (0.500, 0.000, 0.000)
Ga (0.000, 0.500, 0.000)
In (0.000, 0.000, 0.000)

## Properties
- space group = No. 221
- DOS(E_F) (states/eV per cell) = 3.2

=====

Question: which arrangement is favored energetically? Ranking from most to least stable: run i, run ii.

=====

Run i
Density functional theory data (PBE) for crystalline In3GaAs at its relaxed geometry.

Cell: 5.240 5.240 5.240 Å, 90.00 90.00 90.00°
Fractional positions:
As (0.500, 0.500, 0.500)
In (0.500, 0.000, 0.000)
In (0.000, 0.000, 0.500)
In (0.000, 0.500, 0.000)
Ga (0.000, 0.000, 0.000)

## Properties
- space group = No. 221
- DOS(E_F) (states/eV per cell) = 3.5

=====

Run ii
Density functional theory data (PBE) for crystalline In3GaAs at its relaxed geometry.

Cell: 5.413 5.413 5.413 Å, 90.00 90.00 90.00°
Fractional positions:
As (0.000, 0.000, 0.000)
In (0.000, 0.500, 0.000)
In (0.500, 0.000, 0.000)
In (0.000, 0.000, 0.500)
Ga (0.500, 0.500, 0.500)

## Properties
- space group = No. 221
- DOS(E_F) (states/eV per cell) = 3.2

=====

Question: which arrangement is favored energetically? Ranking from most to least stable: run i, run ii.

=====

Run i
Density functional theory data (PBE) for crystalline InGaAsSe2 at its relaxed geometry.

Cell: 5.141 5.141 5.020 Å, 90.00 90.00 90.00°
Each line ends with the local moment (μB).
Fractional positions:
As (0.000, 0.000, 0.500)  0.27
Se (0.000, 0.500, 0.000)  0.04
Se (0.500, 0.000, 0.000)  0.04
In (0.500, 0.500, 0.500)  0.01
Ga (0.000, 0.000, 0.000)  0.00

## Properties
- space group = No. 123
- DOS(E_F) (states/eV per cell) = 3.4

=====

Run ii
Density functional theory data (PBE) for crystalline InGaAsSe2 at its relaxed geometry.

Cell: 5.371 5.371 5.264 Å, 90.00 90.00 90.00°
Each line ends with the local moment (μB).
Fractional positions:
Ga (0.500, 0.500, 0.500)  0.01
In (0.000, 0.000, 0.000)  -0.01
As (0.000, 0.000, 0.500)  0.41
Se (0.000, 0.500, 0.000)  0.06
Se (0.500, 0.000, 0.000)  0.06

## Properties
- space group = No. 123
- DOS(E_F) (states/eV per cell) = 4.6

=====

Question: which arrangement is favored energetically? Ranking from most to least stable: run i, run ii.